(1)
! PBE-GGA CrTeW2, relaxed; values from VASP
&SYSTEM
  ibrav = 0, nat = 4, ntyp = 3
/
ATOMIC_SPECIES
W 183.84 W.upf
Cr 52.00 Cr.upf
Te 127.60 Te.upf
CELL_PARAMETERS angstrom
-0.373 -5.150 -0.565
3.433 1.789 3.464
-1.467 -0.648 2.501
ATOMIC_POSITIONS crystal
W 0.500 0.500 0.000
W 0.000 0.000 0.000
Cr 0.500 0.000 0.500
Te 0.000 0.500 0.500
! Raw formation energy, eV/atom: 0.817
! Space-group type: C2/m, No. 12



(2)
! PBE-GGA TbY2Ho4Sc, relaxed; values from VASP
&SYSTEM
  ibrav = 0, nat = 8, ntyp = 4
/
ATOMIC_SPECIES
Y 88.91 Y.upf
Tb 158.93 Tb.upf
Ho 164.93 Ho.upf
Sc 44.96 Sc.upf
CELL_PARAMETERS angstrom
4.960 0.000 0.000
0.000 4.837 1.098
0.000 2.638 10.780
ATOMIC_POSITIONS crystal
Y 0.000 0.000 0.000
Y 0.500 0.000 0.500
Tb 0.500 0.500 0.000
Ho 0.500 0.745 0.255
Ho 0.500 0.255 0.745
Ho 0.000 0.245 0.255
Ho 0.000 0.755 0.745
Sc 0.000 0.500 0.500
! Energy of formation from the pure elements, eV/atom: 0.036
! Space-group type: P4/mmm, No. 123



(3)
! PBE-GGA RbNaSr2Pt, relaxed; values from VASP
&SYSTEM
  ibrav = 0, nat = 5, ntyp = 4
/
ATOMIC_SPECIES
Rb 85.47 Rb.upf
Pt 195.08 Pt.upf
Na 22.99 Na.upf
Sr 87.62 Sr.upf
CELL_PARAMETERS angstrom
-5.330 1.748 1.978
-1.608 -5.684 0.690
2.354 0.094 6.260
ATOMIC_POSITIONS crystal
Rb 0.000 0.000 0.500
Pt 0.000 0.000 0.000
Na 0.500 0.500 0.500
Sr 0.000 0.500 0.000
Sr 0.500 0.000 0.000
! Energy of formation from the pure elements, eV/atom: -0.227
! Space-group type: P4/mmm, No. 123



(4)
! PBE-GGA Sc2MnAs, relaxed; values from VASP
&SYSTEM
  ibrav = 0, nat = 4, ntyp = 3
/
ATOMIC_SPECIES
As 74.92 As.upf
Mn 54.94 Mn.upf
Sc 44.96 Sc.upf
CELL_PARAMETERS angstrom
-1.731 -3.292 1.434
2.954 -1.970 -0.958
3.560 -0.087 4.100
ATOMIC_POSITIONS crystal
As 0.000 0.700 0.474
Mn 0.500 0.548 0.779
Sc 0.000 0.981 0.914
Sc 0.500 0.271 0.333
! Energy of formation from the pure elements, eV/atom: -0.645
! Space-group type: Amm2, No. 38



(5)
! PBE-GGA TeI2ClO, relaxed; values from VASP
&SYSTEM
  ibrav = 0, nat = 5, ntyp = 4
/
ATOMIC_SPECIES
Cl 35.45 Cl.upf
O 16.00 O.upf
Te 127.60 Te.upf
I 126.90 I.upf
CELL_PARAMETERS angstrom
5.250 0.000 0.000
0.000 5.250 0.000
0.000 0.000 4.598
ATOMIC_POSITIONS crystal
Cl 0.500 0.500 0.500
O 0.000 0.000 0.000
Te 0.000 0.000 0.500
I 0.000 0.500 0.000
I 0.500 0.000 0.000
! Raw formation energy, eV/atom: 0.414
! Space-group type: P4/mmm, No. 123



(6)
! PBE-GGA Ba2Ca3Sn4, relaxed; values from VASP
&SYSTEM
  ibrav = 0, nat = 18, ntyp = 3
/
ATOMIC_SPECIES
Ca 40.08 Ca.upf
Sn 118.71 Sn.upf
Ba 137.33 Ba.upf
CELL_PARAMETERS angstrom
-0.677 -7.855 -3.051
7.623 3.443 -3.014
4.208 -3.114 7.084
ATOMIC_POSITIONS crystal
Ca 0.000 0.500 0.500
Ca 0.251 0.751 0.177
Ca 0.749 0.249 0.823
Ca 0.249 0.249 0.677
Ca 0.500 0.500 0.000
Ca 0.751 0.751 0.323
Sn 0.379 0.502 0.380
Sn 0.121 0.498 0.880
Sn 0.879 0.502 0.120
Sn 0.621 0.498 0.620
Sn 0.373 0.078 0.965
Sn 0.127 0.922 0.465
Sn 0.873 0.078 0.535
Sn 0.627 0.922 0.035
Ba 0.070 0.192 0.172
Ba 0.930 0.808 0.828
Ba 0.570 0.192 0.328
Ba 0.430 0.808 0.672
! Energy of formation from the pure elements, eV/atom: -0.664
! Space-group type: P2_1/c, No. 14



(7)
! PBE-GGA TbPm2YEr5, relaxed; values from VASP
&SYSTEM
  ibrav = 0, nat = 18, ntyp = 4
/
ATOMIC_SPECIES
Pm 145.00 Pm.upf
Er 167.26 Er.upf
Y 88.91 Y.upf
Tb 158.93 Tb.upf
CELL_PARAMETERS angstrom
8.617 0.000 0.000
0.000 8.617 0.000
-4.308 -4.308 7.752
ATOMIC_POSITIONS crystal
Pm 0.117 0.383 0.000
Pm 0.383 0.883 0.000
Pm 0.617 0.117 0.000
Pm 0.883 0.617 0.000
Er 0.427 0.351 0.278
Er 0.649 0.149 0.722
Er 0.149 0.073 0.722
Er 0.851 0.927 0.278
Er 0.927 0.427 0.278
Er 0.000 0.000 0.000
Er 0.573 0.649 0.722
Er 0.073 0.573 0.722
Er 0.351 0.851 0.278
Er 0.500 0.500 0.000
Y 0.250 0.750 0.500
Y 0.750 0.250 0.500
Tb 0.750 0.750 0.500
Tb 0.250 0.250 0.500
! Energy of formation from the pure elements, eV/atom: 0.272
! Space-group type: I4/mcm, No. 140



(8)
! PBE-GGA DySc4Tc2, relaxed; values from VASP
&SYSTEM
  ibrav = 0, nat = 14, ntyp = 3
/
ATOMIC_SPECIES
Sc 44.96 Sc.upf
Tc 98.00 Tc.upf
Dy 162.50 Dy.upf
CELL_PARAMETERS angstrom
5.915 0.000 0.000
0.000 7.049 -2.796
0.000 -0.030 7.359
ATOMIC_POSITIONS crystal
Sc 0.000 0.417 0.761
Sc 0.250 0.261 0.332
Sc 0.500 0.417 0.761
Sc 0.500 0.583 0.239
Sc 0.250 0.975 0.609
Sc 0.000 0.583 0.239
Sc 0.750 0.739 0.668
Sc 0.750 0.025 0.391
Tc 0.750 0.751 0.036
Tc 0.250 0.249 0.964
Tc 0.750 0.382 0.428
Tc 0.250 0.618 0.572
Dy 0.750 0.156 0.012
Dy 0.250 0.844 0.988
! Energy of formation from the pure elements, eV/atom: -0.146
! Space-group type: P2_1/m, No. 11



| no. | density (g/cm³) |
| --- | --- |
| 1 | 13.4 |
| 2 | 7.1 |
| 3 | 3.4 |
| 4 | 4.9 |
| 5 | 5.7 |
| 6 | 4.6 |
| 7 | 7.9 |
| 8 | 5.8 |